## BaSeS2 (PBE)

Data for an optimized crystal structure of BaSeS2.

Cell and atoms, written as POSCAR:
```
BaSeS2
1.0
-6.664 1.588 4.356
-4.184 -2.021 6.657
-2.736 2.682 7.157
Se S Ba
1 2 1
Direct
0.000 0.000 0.000
0.104 0.104 0.104
0.896 0.896 0.896
0.500 0.500 0.500
```

Properties
- space group = R-3m
- ΔE_f (raw) (kJ per mole of atoms) = -64.2

## BaSeS2 (PBE)

Data for an optimized crystal structure of BaSeS2.

Cell and atoms, written as POSCAR:
```
BaSeS2
1.0
5.783 0.000 0.000
0.000 5.783 0.000
2.892 2.892 7.752
S Ba Se
4 2 2
Direct
0.375 0.469 0.750
0.875 0.781 0.750
0.219 0.625 0.250
0.531 0.125 0.250
0.750 0.250 0.500
0.000 0.000 0.000
0.500 0.500 0.000
0.250 0.750 0.500
```

Properties
- space group = I-42d
- ΔE_f (raw) (kJ per mole of atoms) = -62.9

## Ba5SeS4 (PBE)

Data for an optimized crystal structure of Ba5SeS4.

Cell and atoms, written as POSCAR:
```
Ba5SeS4
1.0
-1.655 3.720 -2.133
-5.764 -0.917 2.872
7.068 5.159 8.465
Ba S Se
5 4 1
Direct
0.199 0.699 0.399
0.396 0.896 0.792
0.000 0.500 0.000
0.801 0.301 0.601
0.604 0.104 0.208
0.601 0.601 0.201
0.798 0.798 0.597
0.202 0.202 0.403
0.399 0.399 0.799
0.000 0.000 0.000
```

Properties
- space group = Immm
- ΔE_f (raw) (kJ per mole of atoms) = -199.8

## BaSeS2 (PBE)

Data for an optimized crystal structure of BaSeS2.

Cell and atoms, written as POSCAR:
```
BaSeS2
1.0
-0.317 -3.799 -8.872
-5.607 -3.892 1.867
-3.711 6.693 -2.733
Se Ba S
4 4 8
Direct
0.236 0.750 0.001
0.736 0.750 0.499
0.764 0.250 0.999
0.264 0.250 0.501
0.179 0.250 0.001
0.679 0.250 0.499
0.321 0.750 0.501
0.821 0.750 0.999
0.596 0.832 0.302
0.904 0.332 0.802
0.597 0.667 0.696
0.097 0.833 0.804
0.096 0.668 0.198
0.403 0.333 0.304
0.404 0.168 0.698
0.903 0.167 0.196
```

Properties
- space group = P2_1/c
- ΔE_f (raw) (kJ per mole of atoms) = -98.1

## Ba6Se4S (PBE)

Data for an optimized crystal structure of Ba6Se4S.

Cell and atoms, written as POSCAR:
```
Ba6Se4S
1.0
9.259 -0.029 -0.049
0.048 9.259 -0.049
0.029 0.029 9.259
Ba Se S
12 8 2
Direct
0.919 0.688 0.946
0.554 0.188 0.581
0.188 0.419 0.446
0.812 0.581 0.554
0.946 0.081 0.688
0.419 0.554 0.812
0.081 0.312 0.054
0.446 0.812 0.419
0.054 0.919 0.312
0.688 0.054 0.081
0.581 0.446 0.188
0.312 0.946 0.919
0.250 0.250 0.750
0.636 0.864 0.750
0.750 0.750 0.250
0.864 0.250 0.364
0.250 0.636 0.136
0.136 0.750 0.636
0.750 0.364 0.864
0.364 0.136 0.250
0.000 0.000 0.000
0.500 0.500 0.500
```

Properties
- space group = R-3c
- ΔE_f (raw) (kJ per mole of atoms) = -160.7

## BaSn2SeS2 (PBE)

Data for an optimized crystal structure of BaSn2SeS2.

Cell and atoms, written as POSCAR:
```
BaSn2SeS2
1.0
6.811 0.000 0.000
0.000 7.009 -1.662
0.000 -5.087 8.934
Sn Se S Ba
4 2 4 2
Direct
0.977 0.871 0.089
0.523 0.871 0.089
0.477 0.129 0.911
0.023 0.129 0.911
0.750 0.699 0.218
0.250 0.301 0.782
0.250 0.061 0.315
0.250 0.724 0.706
0.750 0.939 0.685
0.750 0.276 0.294
0.250 0.664 0.384
0.750 0.336 0.616
```

Properties
- space group = P2_1/m
- ΔE_f (raw) (kJ per mole of atoms) = -79.9

## BaSnSeS (PBE)

Data for an optimized crystal structure of BaSnSeS.

Cell and atoms, written as POSCAR:
```
BaSnSeS
1.0
5.162 0.000 0.000
-2.581 4.470 0.000
0.000 0.000 11.989
Se Sn Ba S
2 2 2 2
Direct
0.333 0.667 0.217
0.667 0.333 0.717
0.000 0.000 0.191
0.000 0.000 0.691
0.667 0.333 0.424
0.333 0.667 0.924
0.000 0.000 0.480
0.000 0.000 0.980
```

Properties
- space group = P6_3mc
- ΔE_f (raw) (kJ per mole of atoms) = -114.9

## Ba4TeSe2S (PBE)

Data for an optimized crystal structure of Ba4TeSe2S.

Cell and atoms, written as POSCAR:
```
Ba4TeSe2S
1.0
9.530 0.001 -0.027
-0.006 9.530 -0.027
-4.736 -4.740 6.764
Se Ba S Te
4 8 2 2
Direct
0.500 0.000 0.500
0.500 0.500 0.000
0.000 0.000 0.500
0.500 0.000 0.000
0.743 0.237 0.990
0.257 0.763 0.010
0.745 0.755 0.995
0.737 0.243 0.490
0.255 0.245 0.005
0.255 0.245 0.495
0.745 0.755 0.505
0.263 0.757 0.510
0.000 0.000 0.000
0.500 0.500 0.500
0.000 0.500 0.000
0.000 0.500 0.500
```

Properties
- space group = Imma
- ΔE_f (raw) (kJ per mole of atoms) = -189.5

## Ba4TeSeS2 (PBE)

Data for an optimized crystal structure of Ba4TeSeS2.

Cell and atoms, written as POSCAR:
```
Ba4TeSeS2
1.0
-1.358 4.191 -1.652
-3.790 1.568 7.094
5.208 3.696 5.095
Ba Se S Te
4 1 2 1
Direct
0.000 0.768 0.738
0.000 0.232 0.262
0.500 0.763 0.252
0.500 0.237 0.748
0.000 0.500 0.500
0.500 0.000 0.500
0.000 0.000 0.000
0.500 0.500 0.000
```

Properties
- space group = P2/m
- ΔE_f (raw) (kJ per mole of atoms) = -190.5

## Ba2ThSe2S2 (PBE)

Data for an optimized crystal structure of Ba2ThSe2S2.

Cell and atoms, written as POSCAR:
```
Ba2ThSe2S2
1.0
5.386 0.000 0.000
0.000 5.386 0.000
-2.693 -2.693 8.381
Th Se S Ba
1 2 2 2
Direct
0.000 0.000 0.000
0.828 0.828 0.656
0.172 0.172 0.344
0.500 0.000 0.000
0.000 0.500 0.000
0.639 0.639 0.277
0.361 0.361 0.723
```

Properties
- space group = I4/mmm
- ΔE_f (raw) (kJ per mole of atoms) = -188.9

## BaThSeS2 (PBE)

Data for an optimized crystal structure of BaThSeS2.

Cell and atoms, written as POSCAR:
```
BaThSeS2
1.0
7.380 0.000 0.000
0.000 7.380 0.000
-3.690 -3.690 5.760
S Th Se Ba
4 2 2 2
Direct
0.833 0.668 0.000
0.168 0.333 0.000
0.668 0.168 0.000
0.333 0.833 0.000
0.000 0.000 0.000
0.500 0.500 0.000
0.750 0.750 0.500
0.250 0.250 0.500
0.750 0.250 0.500
0.250 0.750 0.500
```

Properties
- space group = I4/mcm
- ΔE_f (raw) (kJ per mole of atoms) = -190.1

## Ba2TiSe3S (PBE)

Data for an optimized crystal structure of Ba2TiSe3S.

Cell and atoms, written as POSCAR:
```
Ba2TiSe3S
1.0
-1.437 3.751 -2.608
-4.699 -0.684 1.605
4.531 3.499 6.932
Ba Ti Se S
2 1 3 1
Direct
0.642 0.642 0.283
0.358 0.358 0.717
0.000 0.000 0.000
0.839 0.839 0.679
0.000 0.500 0.000
0.161 0.161 0.321
0.500 0.000 0.000
```

Properties
- space group = Immm
- ΔE_f (raw) (kJ per mole of atoms) = -162.4

Question: Among the records above, which one has the highest ΔE_f (raw)?
Answer: number 2

Copy entry 2 word for word.
## BaSeS2 (PBE)

Data for an optimized crystal structure of BaSeS2.

Cell and atoms, written as POSCAR:
```
BaSeS2
1.0
5.783 0.000 0.000
0.000 5.783 0.000
2.892 2.892 7.752
S Ba Se
4 2 2
Direct
0.375 0.469 0.750
0.875 0.781 0.750
0.219 0.625 0.250
0.531 0.125 0.250
0.750 0.250 0.500
0.000 0.000 0.000
0.500 0.500 0.000
0.250 0.750 0.500
```

Properties
- space group = I-42d
- ΔE_f (raw) (kJ per mole of atoms) = -62.9

Question: Which of these has the highest ΔE_f (raw)?
Answer: number 2

Question: Look up the ΔE_f (raw) of the fourth one.
Answer: -98.1 kJ per mole of atoms